1.
18
Lattice="-4.252 -1.533 -1.417 -2.254 -1.106 7.959 -2.907 7.819 0.263" Properties=species:S:1:pos:R:3 comment="LaGe4Rh4 (PBE, relaxed)" formation_enthalpy_0k_kj_per_mol_atoms=-57.1 pbc="T T T"
Rh -5.857 3.031 6.374
Rh -2.078 4.808 1.031
Rh -5.536 5.601 2.635
Rh -5.401 -1.092 1.554
Rh -3.084 1.905 7.191
Rh -3.877 -0.421 4.171
Rh -3.558 2.148 0.431
Rh -8.263 4.738 3.834
Ge -4.890 0.539 6.171
Ge -6.323 -0.588 3.774
Ge -3.652 4.173 6.441
Ge -4.524 4.641 0.634
Ge -7.342 4.235 1.614
Ge -1.510 2.539 1.782
Ge -3.197 0.050 1.621
Ge -6.216 5.129 5.185
La -4.707 2.590 3.403
La 0.000 0.000 0.000



2.
10
Lattice="2.348 5.691 4.128 -3.610 3.294 4.251 2.520 -0.541 5.884" Properties=species:S:1:pos:R:3 comment="Mo2Se3 (PBE, relaxed)" raw_formation_energy_mev_per_atom=-271 pbc="T T T"
Mo 0.089 2.534 7.692
Mo -0.071 4.852 8.735
Mo -1.417 5.339 5.849
Mo 3.154 3.516 7.574
Se 1.450 0.500 3.523
Se 2.313 1.230 6.726
Se -1.125 7.156 7.657
Se -0.891 3.663 3.729
Se 1.077 4.605 6.348
Se 1.391 6.717 9.914



3.
6
Lattice="0.000 3.683 3.683 3.683 0.000 3.683 3.683 3.683 0.000" Properties=species:S:1:pos:R:3 comment="BeAgMo4 (PBE, relaxed)" formation_enthalpy_0k_kj_per_mol_atoms=70.0 pbc="T T T"
Mo 4.604 4.604 2.761
Mo 4.604 2.761 4.604
Mo 2.761 2.761 2.761
Mo 2.761 4.604 4.604
Ag 5.524 5.524 5.524
Be 0.000 0.000 0.000



4.
11
Lattice="4.757 0.000 0.000 0.000 4.757 0.000 -2.379 -2.379 14.809" Properties=species:S:1:pos:R:3 comment="Ce2Pm3Tl6 (PBE, relaxed)" formation_enthalpy_0k_kj_per_mol_atoms=-8.3 pbc="T T T"
Tl 2.379 0.000 11.387
Tl 2.379 2.379 5.709
Tl 0.000 2.379 3.422
Tl 2.379 0.000 3.422
Tl 0.000 0.000 9.100
Tl 0.000 2.379 11.387
Ce 2.379 2.379 1.283
Ce 0.000 0.000 13.526
Pm 2.379 2.379 8.856
Pm 0.000 0.000 5.953
Pm 0.000 0.000 0.000



5.
11
Lattice="-0.451 -2.180 3.722 -6.696 -1.309 -1.577 5.008 -4.464 -2.008" Properties=species:S:1:pos:R:3 comment="K2Ag3F6 (PBE, relaxed)" raw_formation_energy_mev_per_atom=-1670 pbc="T T T"
K 1.106 -3.413 -1.865
K -2.795 -2.361 -1.721
F 2.666 -3.668 0.702
F -4.092 -1.846 0.950
F -1.716 -0.335 -0.404
F -0.939 -3.530 0.346
F 1.283 -1.144 -0.515
F -1.256 -4.294 -2.667
Ag -1.814 -1.400 1.487
Ag 0.963 -2.149 1.385
Ag -1.513 -5.494 -0.874



6.
18
Lattice="7.183 0.050 0.035 3.591 6.222 0.035 3.591 2.090 5.860" Properties=species:S:1:pos:R:3 comment="Ba2OsPt3O12 (PBE, relaxed)" raw_formation_energy_mev_per_atom=-1148 pbc="T T T"
Ba 5.026 2.925 2.075
Ba 9.339 5.436 3.856
O 3.242 1.887 4.012
O 7.033 6.564 2.039
O 5.436 0.641 0.455
O 7.332 4.268 0.410
O 3.242 4.410 0.455
O 8.929 7.721 5.476
O 11.123 6.475 1.919
O 9.181 2.874 2.039
O 7.033 4.094 5.520
O 5.184 5.487 3.892
O 11.123 3.951 5.476
O 7.332 1.798 3.892
Os 0.000 0.000 0.000
Pt 3.592 0.025 0.018
Pt 1.795 3.111 0.018
Pt 1.795 1.045 2.930



7.
6
Lattice="4.630 0.000 0.000 0.000 4.630 0.000 0.000 0.000 6.871" Properties=species:S:1:pos:R:3 comment="CeHfPt (PBE, relaxed)" relative_energy_mev_per_atom=0 formation_enthalpy_0k_kj_per_mol_atoms=-71.7 pbc="T T T"
Hf 2.315 2.315 3.436
Hf 0.000 0.000 3.436
Pt 2.315 0.000 4.825
Pt 0.000 2.315 2.047
Ce 2.315 0.000 0.809
Ce 0.000 2.315 6.062



8.
6
Lattice="-2.218 -2.521 4.379 -5.334 0.746 1.205 -3.594 -4.126 -0.718" Properties=species:S:1:pos:R:3 comment="BaRh4Br (PBE, relaxed)" raw_formation_energy_mev_per_atom=351 pbc="T T T"
Ba -8.359 -4.426 3.649
Br 0.000 0.000 0.000
Rh -4.185 -2.216 1.827
Rh -5.290 -3.471 4.009
Rh -5.975 -4.271 1.469
Rh -6.842 -1.844 2.427



9.
7
Lattice="-2.432 -4.214 2.731 4.045 0.382 4.192 -5.868 7.662 0.899" Properties=species:S:1:pos:R:3 comment="Rb2SnBr3Cl (PBE, relaxed)" raw_formation_energy_mev_per_atom=-1384 pbc="T T T"
Rb -0.597 -0.322 4.671
Rb -3.657 4.152 3.151
Sn 0.000 0.000 0.000
Br -1.706 1.936 1.469
Br -2.549 1.893 6.352
Br 2.023 0.191 2.096
Cl -1.216 -2.107 1.365



10.
9
Lattice="3.432 0.000 0.000 0.000 7.141 -4.123 0.000 0.000 8.245" Properties=species:S:1:pos:R:3 comment="AcCd2Ga6 (PBE, relaxed)" formation_enthalpy_0k_kj_per_mol_atoms=-8.8 pbc="T T T"
Cd 3.432 4.760 0.000
Cd 0.000 2.380 4.123
Ga 1.716 4.681 2.703
Ga 1.716 0.000 5.405
Ga 1.716 4.681 5.543
Ga 1.716 7.141 -1.283
Ga 1.716 2.460 1.420
Ga 1.716 2.460 -1.420
Ac 0.000 0.000 8.245



11.
4
Lattice="2.897 0.000 0.000 0.000 4.112 0.000 0.000 0.000 5.681" Properties=species:S:1:pos:R:3 comment="Li2MgSi (PBE, relaxed)" raw_formation_energy_mev_per_atom=-79 pbc="T T T"
Li 0.000 0.000 5.478
Li 0.000 0.000 3.044
Mg 1.449 2.056 1.420
Si 1.449 2.056 4.261



12.
8
Lattice="-2.157 2.013 -4.407 0.707 -4.641 -2.466 -5.641 -2.945 -1.776" Properties=species:S:1:pos:R:3 comment="BiBIr2 (PBE, relaxed)" relative_energy_mev_per_atom=0 formation_enthalpy_0k_kj_per_mol_atoms=27.5 pbc="T T T"
Ir -4.697 -3.701 -4.179
Ir -2.434 -0.278 -3.025
Ir -1.474 -3.165 -3.018
Ir -5.576 -4.001 -7.076
B -2.829 -4.450 -3.839
B -0.725 -1.314 -3.436
Bi -4.261 -1.123 -4.809
Bi 0.000 0.000 0.000



13.
19
Lattice="-2.556 -6.434 -1.227 4.192 -3.387 4.516 -4.535 -0.083 5.373" Properties=species:S:1:pos:R:3 comment="Na2Nd2Pt15 (PBE, relaxed)" formation_enthalpy_0k_kj_per_mol_atoms=-51.3 pbc="T T T"
Pt -3.981 -4.869 3.492
Pt 0.322 -6.497 3.070
Pt 2.007 -4.373 2.657
Pt 1.081 -5.035 5.170
Pt 1.367 -2.317 4.793
Pt -0.371 -5.447 0.632
Pt -3.197 -4.378 0.910
Pt -3.221 -3.406 5.592
Pt -2.245 -6.537 2.338
Pt -1.709 -1.153 5.095
Pt -2.267 -0.041 2.686
Pt 2.096 -1.693 2.258
Pt -0.654 -3.366 6.323
Pt -3.894 -2.139 3.236
Pt -1.278 -3.217 -0.614
Na -2.635 -9.001 7.872
Na -0.264 -0.903 0.790
Nd -1.892 -6.462 5.651
Nd -1.008 -3.442 3.010



14.
5
Lattice="3.849 0.000 0.000 0.000 3.849 0.000 0.000 0.000 3.983" Properties=species:S:1:pos:R:3 comment="MnCo2AuC (PBE, relaxed)" formation_enthalpy_0k_kj_per_mol_atoms=9.7 pbc="T T T"
C 0.000 0.000 0.000
Co 1.925 0.000 0.000
Co 0.000 1.925 0.000
Mn 0.000 0.000 1.991
Au 1.925 1.925 1.991



15.
3
Lattice="4.906 0.000 0.000 2.453 4.249 0.000 2.453 1.416 4.006" Properties=species:S:1:pos:R:3 comment="ErTmGa (PBE, relaxed)" relative_energy_mev_per_atom=133 formation_enthalpy_0k_kj_per_mol_atoms=-24.4 pbc="T T T"
Ga 2.453 1.416 1.001
Tm 4.906 2.833 2.003
Er 0.000 0.000 0.000



16.
12
Lattice="-5.144 1.356 -0.015 -2.794 -0.210 -4.523 -4.882 -8.081 0.263" Properties=species:S:1:pos:R:3 comment="CsNbAg2F8 (PBE, relaxed)" raw_formation_energy_mev_per_atom=-2267 pbc="T T T"
F -8.929 -2.603 -3.751
F -4.610 -0.885 -4.371
F -8.210 -6.049 0.096
F -4.667 -0.184 -1.099
F -5.376 -7.100 -1.341
F -8.153 -6.751 -3.175
F -3.891 -4.332 -0.524
F -7.444 0.165 -2.933
Cs -6.410 -3.467 -2.137
Nb 0.000 0.000 0.000
Ag -9.469 -4.648 -3.322
Ag -3.351 -2.287 -0.953